Record 1
# HoPa2InN5, optimized geometry, DFT PBE
data_HoPa2InN5
_chemical_formula_sum 'Ho4 Pa8 In4 N20'
_cell_length_a 3.513
_cell_length_b 14.050
_cell_length_c 11.306
_cell_angle_alpha 90.00
_cell_angle_beta 90.00
_cell_angle_gamma 90.00
_symmetry_space_group_name_H-M 'C m c 21'
_symmetry_Int_Tables_number 36
loop_
_symmetry_equiv_pos_as_xyz
'x,y,z'
'-x,-y,z+1/2'
'-x,y,z'
'x,-y,z+1/2'
'x+1/2,y+1/2,z'
'-x+1/2,-y+1/2,z+1/2'
'-x+1/2,y+1/2,z'
'x+1/2,-y+1/2,z+1/2'
loop_
_atom_site_label
_atom_site_type_symbol
_atom_site_fract_x
_atom_site_fract_y
_atom_site_fract_z
Ho1 Ho 0.000 0.235 0.000
Pa1 Pa 0.000 0.128 0.249
Pa2 Pa 0.000 0.142 0.728
In1 In 0.000 0.496 0.497
N1 N 0.000 0.075 0.059
N2 N 0.000 0.278 0.348
N3 N 0.000 0.285 0.658
N4 N 0.000 0.375 0.105
N5 N 0.000 0.465 0.809
# density	9662	kg/m³
# formation energy from raw total energies	-1125.4	meV per atom
# total moment	1.105	μB per cell
# D(E_F)	3.64	states/eV/f.u.

Record 2
# PmHo2InN, optimized geometry, DFT PBE
data_PmHo2InN
_chemical_formula_sum 'Pm1 Ho2 In1 N1'
_cell_length_a 4.804
_cell_length_b 4.804
_cell_length_c 4.979
_cell_angle_alpha 90.00
_cell_angle_beta 90.00
_cell_angle_gamma 90.00
_symmetry_space_group_name_H-M 'P 4/m m m'
_symmetry_Int_Tables_number 123
_symmetry_space_group_name_Hall '-P 4 2'
loop_
_atom_site_label
_atom_site_type_symbol
_atom_site_fract_x
_atom_site_fract_y
_atom_site_fract_z
Pm1 Pm 0.000 0.000 0.000
Ho1 Ho 0.000 0.500 0.500
In1 In 0.500 0.500 0.000
N1 N 0.000 0.000 0.500
# density	8723	kg/m³
# formation energy from raw total energies	-962.6	meV per atom
# total moment	0.000	μB per cell
# D(E_F)	2.44	states/eV/f.u.

Record 3
# PrHoInN3, optimized geometry, DFT PBE
data_PrHoInN3
_chemical_formula_sum 'Pr2 Ho2 In2 N6'
_cell_length_a 6.656
_cell_length_b 3.406
_cell_length_c 9.459
_cell_angle_alpha 90.00
_cell_angle_beta 94.32
_cell_angle_gamma 90.00
_symmetry_space_group_name_H-M 'P 1 21/m 1'
_symmetry_Int_Tables_number 11
loop_
_symmetry_equiv_pos_as_xyz
'x,y,z'
'-x,-y,-z'
'-x,y+1/2,-z'
'x,-y+1/2,z'
loop_
_atom_site_label
_atom_site_type_symbol
_atom_site_fract_x
_atom_site_fract_y
_atom_site_fract_z
Pr1 Pr 0.192 0.250 0.243
Ho1 Ho 0.335 0.750 0.893
In1 In 0.170 0.250 0.592
N1 N 0.108 0.250 0.816
N2 N 0.197 0.750 0.453
N3 N 0.405 0.750 0.129
# density	7186	kg/m³
# formation energy from raw total energies	-754.4	meV per atom
# total moment	0.000	μB per cell

> total moment of number 1 (HoPa2InN5)?

1.105 μB per cell